# Ac3Al2CrO9

Ac3Al2CrO9 after structural relaxation (PBE with a Hubbard U, the Alexandria database).

Output
Total energy: -118.46 eV per cell
D(E_F): 0.0 states/eV/cell

The structure in CIF format:
```
data_Ac3Al2CrO9
_chemical_formula_sum 'Ac3 Al2 Cr1 O9'
_cell_length_a 5.5381
_cell_length_b 5.5381
_cell_length_c 6.7886
_cell_angle_alpha 90.00
_cell_angle_beta 90.00
_cell_angle_gamma 120.00
_symmetry_space_group_name_H-M 'P -3 m 1'
_symmetry_Int_Tables_number 164
_symmetry_space_group_name_Hall '-P 3 2"'
loop_
_atom_site_label
_atom_site_type_symbol
_atom_site_fract_x
_atom_site_fract_y
_atom_site_fract_z
Ac1 Ac 0.0000 0.0000 0.0000
Ac2 Ac 0.3333 0.6667 0.6662
Al1 Al 0.3333 0.6667 0.1623
Cr1 Cr 0.0000 0.0000 0.5000
O1 O 0.0000 0.5000 0.0000
O2 O 0.1704 0.3407 0.3281
```